(1)
A relaxed structure of EuLuIn, computed with PBE.

Structure (POSCAR):
```
EuLuIn
1.0
-1.8396 1.8396 6.7484
1.8396 -1.8396 6.7484
1.8396 1.8396 -6.7484
Eu Lu In
1 1 1
Direct
0.0000 0.0000 0.0000
0.3005 0.3005 0.0000
0.6650 0.6650 0.0000
```

Calculated values
ΔE_f (meV per atom): -232


(2)
A relaxed structure of Tc3RuAu, computed with PBE.

Structure (POSCAR):
```
Tc3RuAu
1.0
4.6335 0.0000 0.0000
0.0000 4.6335 0.0000
0.0000 0.0000 4.6335
Tc Ru Au
3 1 1
Direct
0.0000 0.0000 0.5000
0.0000 0.5000 0.0000
0.5000 0.0000 0.0000
0.0000 0.0000 0.0000
0.5000 0.5000 0.5000
```

Calculated values
ΔE_f (meV per atom): 1699


(3)
A relaxed structure of Y3Mn, computed with PBE.

Structure (POSCAR):
```
Y3Mn
1.0
6.0876 0.0000 0.0000
0.0000 6.0876 0.0000
0.0000 0.0000 6.0876
Y Mn
6 2
Direct
0.0000 0.2500 0.5000
0.0000 0.7500 0.5000
0.2500 0.5000 0.0000
0.5000 0.0000 0.2500
0.5000 0.0000 0.7500
0.7500 0.5000 0.0000
0.0000 0.0000 0.0000
0.5000 0.5000 0.5000
```

Calculated values
ΔE_f (meV per atom): 364


(4)
A relaxed structure of Hf2BiI, computed with PBE.

Structure (POSCAR):
```
Hf2BiI
1.0
-3.3493 3.3493 6.2320
3.3493 -3.3493 6.2320
3.3493 3.3493 -6.2320
Hf Bi I
4 2 2
Direct
0.1184 0.6250 0.9934
0.3750 0.3684 0.4934
0.6316 0.1250 0.0066
0.8750 0.8816 0.5066
0.2500 0.7500 0.5000
0.5000 0.5000 0.0000
0.0000 0.0000 0.0000
0.7500 0.2500 0.5000
```

Calculated values
Formation energy without anion corrections (meV per atom): 846


It is found that the theoretical density values, taken in the order of the records, are 8.03 9.88 4.74 8.23 g/cm³.
It is found that the magnetic moment values, taken in the order of the records, are 7.6 2.3 3.9 1.1 μB/f.u..